DFT (PBE) results for Tb8Dy3Ho4 after structural relaxation.

Unit cell a=6.8998 b=6.8998 c=12.3616 alpha=73.79 beta=73.79 gamma=60.00
Fractional positions:
1 Tb 0.7505 0.2482 0.2507
2 Tb 0.7546 0.7546 0.7362
3 Tb 0.7518 0.2495 0.7493
4 Dy 0.5000 0.0000 0.5000
5 Tb 0.2454 0.2454 0.2638
6 Dy 0.0000 0.5000 0.5000
7 Ho 0.0000 0.0000 0.0000
8 Tb 0.2495 0.7518 0.7493
9 Ho 0.5000 0.5000 0.5000
10 Tb 0.2495 0.2495 0.7493
11 Ho 0.6638 0.6638 0.0085
12 Dy 0.0000 0.0000 0.5000
13 Tb 0.7505 0.7505 0.2507
14 Tb 0.2482 0.7505 0.2507
15 Ho 0.3362 0.3362 0.9915

The calculation puts the polymorph energy (0 for the lowest one) at 0 meV per atom. Its total magnetization is 0.00 μB/f.u. The calculation puts the total DFT energy (no corrections) at -66.9 eV per cell. For the formation energy, the calculation gives 150 meV/atom.